VASP calculation (PBE) on a geometry-optimized Sr2ZnNi9 structure.

abc: 4.9688 4.9688 8.7861
angles: 73.57 73.57 60.00
With the nearest neighbours (Å) after each atom.
Positions (direct):
Ni1 0.5000 0.5000 0.5000  6 Ni 2.64
Ni2 0.4246 0.4246 0.2316  7 Ni 2.39-2.64
Ni3 0.9193 0.4246 0.2316  7 Ni 2.39-2.64
Ni4 0.6677 0.6677 0.9968  6 Ni 2.39-2.41
Ni5 0.5754 0.0807 0.7684  7 Ni 2.39-2.64
Ni6 0.3323 0.3323 0.0032  6 Ni 2.39-2.41
Ni7 0.0807 0.5754 0.7684  7 Ni 2.39-2.64
Ni8 0.4246 0.9193 0.2316  7 Ni 2.39-2.64
Ni9 0.5754 0.5754 0.7684  7 Ni 2.39-2.64
Sr1 0.8632 0.8632 0.4105  9 Ni 2.89-2.96, 3 Sr 3.23
Sr2 0.1368 0.1368 0.5895  9 Ni 2.89-2.96, 3 Sr 3.23
Zn1 0.0000 0.0000 0.0000  18 Ni 2.87-3.14

Output
E = -4.623 eV per atom
Formation energy from the elements = 0.0995 eV/atom
Space-group type = R-3m
Crystal system = trigonal


VASP calculation (PBE) on a geometry-optimized LaAgSnHg structure.

abc: 5.2324 5.2324 5.2324
angles: 60.00 60.00 60.00
With the nearest neighbours (Å) after each atom.
Positions (direct):
Ag1 0.5000 0.5000 0.5000  4 La 3.20, 4 Sn 3.20
Sn1 0.2500 0.2500 0.2500  4 Hg 3.20, 4 Ag 3.20
Hg1 0.0000 0.0000 0.0000  4 La 3.20, 4 Sn 3.20
La1 0.7500 0.7500 0.7500  4 Hg 3.20, 4 Ag 3.20

Output
E = -3.446 eV per atom
Formation energy from the elements = -0.4253 eV/atom
Space-group type = F-43m
Crystal system = cubic


> Which of these has the lowest formation energy from the elements?

LaAgSnHg


> Which of these has the highest E?

LaAgSnHg